[1]
Compound: Rb2CN
Source: the Alexandria database
Functional: PBE
Structure: relaxed

## Properties
The value obtained for the total energy is -3.818 eV/atom. For the density of states at the Fermi level, the calculation gives 4.8 states/eV/cell. As for the crystal system: tetragonal. Its calculated volume is 26.5 Å³ per atom. For the energy above the most stable polymorph in this dataset, the calculation gives 0.0 meV per atom. As for the formation energy without anion corrections: 1.053 eV per atom. The total magnetization is 0.01 μB per cell.

Structure (CIF):
```
data_Rb2CN
_chemical_formula_sum 'Rb4 C2 N2'
_symmetry_space_group_name_H-M 'P 1'
_symmetry_Int_Tables_number 1
_symmetry_space_group_name_Hall 'P 1'
_cell_length_a 8.4409
_cell_length_b 8.4409
_cell_length_c 8.4409
_cell_angle_alpha 91.90
_cell_angle_beta 91.90
_cell_angle_gamma 159.01
loop_
_atom_site_label
_atom_site_fract_x
_atom_site_fract_y
_atom_site_fract_z
_atom_site_occupancy
Rb1 0.0000 0.0000 0.0000 1
Rb2 0.0000 0.0000 0.5000 1
Rb3 0.0000 0.5000 0.0000 1
Rb4 0.5000 0.0000 0.5000 1
C1 0.3750 0.6250 0.7500 1
C2 0.6250 0.3750 0.2500 1
N1 0.1250 0.8750 0.2500 1
N2 0.8750 0.1250 0.7500 1
```

***

[2]
Compound: CoCu3
Source: the Alexandria database
Functional: PBE
Structure: relaxed

## Properties
The value obtained for the total energy is -4.671 eV/atom. For the density of states at the Fermi level, the calculation gives 4.3 states/eV/cell. As for the crystal system: orthorhombic. Its calculated volume is 11.8 Å³ per atom. Its energy relative to the elements is 0.18 eV per atom. The total magnetization is 1.37 μB per cell.

Structure (CIF):
```
data_CoCu3
_chemical_formula_sum 'Co1 Cu3'
_symmetry_space_group_name_H-M 'P 1'
_symmetry_Int_Tables_number 1
_symmetry_space_group_name_Hall 'P 1'
_cell_length_a 4.9365
_cell_length_b 4.9365
_cell_length_c 4.9365
_cell_angle_alpha 149.59
_cell_angle_beta 128.74
_cell_angle_gamma 60.78
loop_
_atom_site_label
_atom_site_fract_x
_atom_site_fract_y
_atom_site_fract_z
_atom_site_occupancy
Co1 0.0000 0.0000 0.0000 1
Cu1 0.2501 0.7501 0.5000 1
Cu2 0.5000 0.5000 0.0000 1
Cu3 0.7499 0.2499 0.5000 1
```

***

[3]
Compound: DyPdAu
Source: the Alexandria database
Functional: PBE
Structure: relaxed

## Properties
The value obtained for the total energy is -5.109 eV/atom. For the density of states at the Fermi level, the calculation gives 2.2 states/eV/cell. As for the crystal system: trigonal. Its calculated volume is 21.0 Å³ per atom. For the energy above the most stable polymorph in this dataset, the calculation gives 104.0 meV per atom. Its energy relative to the elements is -0.75 eV per atom. The total magnetization is 0.00 μB per cell.

Structure (CIF):
```
data_DyPdAu
_chemical_formula_sum 'Dy1 Pd1 Au1'
_symmetry_space_group_name_H-M 'P 1'
_symmetry_Int_Tables_number 1
_symmetry_space_group_name_Hall 'P 1'
_cell_length_a 4.6455
_cell_length_b 4.6455
_cell_length_c 3.3775
_cell_angle_alpha 90.00
_cell_angle_beta 90.00
_cell_angle_gamma 120.00
loop_
_atom_site_label
_atom_site_fract_x
_atom_site_fract_y
_atom_site_fract_z
_atom_site_occupancy
Dy1 0.0000 0.0000 0.0000 1
Pd1 0.3333 0.6667 0.5015 1
Au1 0.6667 0.3333 0.4994 1
```

***

[4]
Compound: Ac2PrZr
Source: the Alexandria database
Functional: PBE
Structure: relaxed

## Properties
The value obtained for the total energy is -4.921 eV/atom. For the density of states at the Fermi level, the calculation gives 5.5 states/eV/cell. As for the crystal system: trigonal. Its calculated volume is 36.4 Å³ per atom. Its energy relative to the elements is 0.47 eV per atom. The total magnetization is 0.00 μB per cell.

Structure (CIF):
```
data_Ac2PrZr
_chemical_formula_sum 'Ac2 Pr1 Zr1'
_symmetry_space_group_name_H-M 'P 1'
_symmetry_Int_Tables_number 1
_symmetry_space_group_name_Hall 'P 1'
_cell_length_a 12.9289
_cell_length_b 12.9289
_cell_length_c 12.9289
_cell_angle_alpha 16.14
_cell_angle_beta 16.14
_cell_angle_gamma 16.14
loop_
_atom_site_label
_atom_site_fract_x
_atom_site_fract_y
_atom_site_fract_z
_atom_site_occupancy
Ac1 0.0834 0.0834 0.0834 1
Ac2 0.9166 0.9166 0.9166 1
Pr1 0.5000 0.5000 0.5000 1
Zr1 0.0000 0.0000 0.0000 1
```

***

[5]
Compound: Ca4Nd3Te8
Source: the Alexandria database
Functional: PBE
Structure: relaxed

## Properties
The value obtained for the total energy is -4.574 eV/atom. For the density of states at the Fermi level, the calculation gives 4.5 states/eV/cell. As for the crystal system: trigonal. Its calculated volume is 38.1 Å³ per atom. As for the formation energy without anion corrections: -1.411 eV per atom. The total magnetization is 0.00 μB per cell.

Structure (CIF):
```
data_Ca4Nd3Te8
_chemical_formula_sum 'Ca4 Nd3 Te8'
_symmetry_space_group_name_H-M 'P 1'
_symmetry_Int_Tables_number 1
_symmetry_space_group_name_Hall 'P 1'
_cell_length_a 9.6891
_cell_length_b 9.6891
_cell_length_c 9.6891
_cell_angle_alpha 55.21
_cell_angle_beta 55.21
_cell_angle_gamma 55.21
loop_
_atom_site_label
_atom_site_fract_x
_atom_site_fract_y
_atom_site_fract_z
_atom_site_occupancy
Ca1 0.0000 0.0000 0.0000 1
Ca2 0.1437 0.1437 0.1437 1
Ca3 0.5000 0.5000 0.5000 1
Ca4 0.8563 0.8563 0.8563 1
Nd1 0.0000 0.5000 0.5000 1
Nd2 0.5000 0.0000 0.5000 1
Nd3 0.5000 0.5000 0.0000 1
Te1 0.2488 0.2488 0.7399 1
Te2 0.2488 0.7399 0.2488 1
Te3 0.2601 0.7512 0.7512 1
Te4 0.2634 0.2634 0.2634 1
Te5 0.7366 0.7366 0.7366 1
Te6 0.7399 0.2488 0.2488 1
Te7 0.7512 0.2601 0.7512 1
Te8 0.7512 0.7512 0.2601 1
```

***

[6]
Compound: VNiPt
Source: the Alexandria database
Functional: PBE
Structure: relaxed

## Properties
The value obtained for the total energy is -6.784 eV/atom. For the density of states at the Fermi level, the calculation gives 7.2 states/eV/cell. As for the crystal system: orthorhombic. Its calculated volume is 15.6 Å³ per atom. For the energy above the most stable polymorph in this dataset, the calculation gives 548.2 meV per atom. Its energy relative to the elements is 0.20 eV per atom. The total magnetization is 1.48 μB per cell.

Structure (CIF):
```
data_VNiPt
_chemical_formula_sum 'V2 Ni2 Pt2'
_symmetry_space_group_name_H-M 'P 1'
_symmetry_Int_Tables_number 1
_symmetry_space_group_name_Hall 'P 1'
_cell_length_a 5.5561
_cell_length_b 3.8866
_cell_length_c 4.3422
_cell_angle_alpha 90.00
_cell_angle_beta 90.00
_cell_angle_gamma 90.00
loop_
_atom_site_label
_atom_site_fract_x
_atom_site_fract_y
_atom_site_fract_z
_atom_site_occupancy
V1 0.0000 0.0000 0.0000 1
V2 0.5000 0.0000 0.0000 1
Ni1 0.2500 0.5000 0.1113 1
Ni2 0.7500 0.5000 0.8887 1
Pt1 0.2500 0.0000 0.5125 1
Pt2 0.7500 0.0000 0.4875 1
```

***

[7]
Compound: NbGe2P
Source: the Alexandria database
Functional: PBE
Structure: relaxed

## Properties
The value obtained for the total energy is -5.938 eV/atom. For the density of states at the Fermi level, the calculation gives 5.1 states/eV/cell. As for the crystal system: tetragonal. Its calculated volume is 17.4 Å³ per atom. Its energy relative to the elements is 0.24 eV per atom. The total magnetization is 0.00 μB per cell.

Structure (CIF):
```
data_NbGe2P
_chemical_formula_sum 'Nb2 Ge4 P2'
_symmetry_space_group_name_H-M 'P 1'
_symmetry_Int_Tables_number 1
_symmetry_space_group_name_Hall 'P 1'
_cell_length_a 5.7526
_cell_length_b 5.7526
_cell_length_c 5.7526
_cell_angle_alpha 102.53
_cell_angle_beta 102.53
_cell_angle_gamma 124.47
loop_
_atom_site_label
_atom_site_fract_x
_atom_site_fract_y
_atom_site_fract_z
_atom_site_occupancy
Nb1 0.0000 0.0000 0.0000 1
Nb2 0.7500 0.2500 0.5000 1
Ge1 0.1454 0.6250 0.0204 1
Ge2 0.3750 0.3954 0.5204 1
Ge3 0.6046 0.1250 0.9796 1
Ge4 0.8750 0.8546 0.4796 1
P1 0.2500 0.7500 0.5000 1
P2 0.5000 0.5000 0.0000 1
```

***

[8]
Compound: Mg2CrP
Source: the Alexandria database
Functional: PBE
Structure: relaxed

## Properties
The value obtained for the total energy is -4.317 eV/atom. For the density of states at the Fermi level, the calculation gives 3.4 states/eV/cell. As for the crystal system: cubic. Its calculated volume is 17.5 Å³ per atom. Its energy relative to the elements is 0.24 eV per atom. The total magnetization is 4.07 μB per cell.

Structure (CIF):
```
data_Mg2CrP
_chemical_formula_sum 'Mg2 Cr1 P1'
_symmetry_space_group_name_H-M 'P 1'
_symmetry_Int_Tables_number 1
_symmetry_space_group_name_Hall 'P 1'
_cell_length_a 4.6288
_cell_length_b 4.6288
_cell_length_c 4.6288
_cell_angle_alpha 60.00
_cell_angle_beta 60.00
_cell_angle_gamma 60.00
loop_
_atom_site_label
_atom_site_fract_x
_atom_site_fract_y
_atom_site_fract_z
_atom_site_occupancy
Mg1 0.0000 0.0000 0.0000 1
Mg2 0.2500 0.2500 0.2500 1
Cr1 0.7500 0.7500 0.7500 1
P1 0.5000 0.5000 0.5000 1
```

***

[9]
Compound: LaGa2Rh
Source: the Alexandria database
Functional: PBE
Structure: relaxed

## Properties
The value obtained for the total energy is -5.011 eV/atom. For the density of states at the Fermi level, the calculation gives 6.6 states/eV/cell. As for the crystal system: tetragonal. Its calculated volume is 24.1 Å³ per atom. Its energy relative to the elements is -0.43 eV per atom. The total magnetization is 0.00 μB per cell.

Structure (CIF):
```
data_LaGa2Rh
_chemical_formula_sum 'La2 Ga4 Rh2'
_symmetry_space_group_name_H-M 'P 1'
_symmetry_Int_Tables_number 1
_symmetry_space_group_name_Hall 'P 1'
_cell_length_a 9.2334
_cell_length_b 9.2334
_cell_length_c 9.2334
_cell_angle_alpha 150.28
_cell_angle_beta 150.28
_cell_angle_gamma 42.52
loop_
_atom_site_label
_atom_site_fract_x
_atom_site_fract_y
_atom_site_fract_z
_atom_site_occupancy
La1 0.0000 0.0000 0.0000 1
La2 0.7500 0.2500 0.5000 1
Ga1 0.3158 0.6250 0.1908 1
Ga2 0.3750 0.5658 0.6908 1
Ga3 0.4342 0.1250 0.8092 1
Ga4 0.8750 0.6842 0.3092 1
Rh1 0.2500 0.7500 0.5000 1
Rh2 0.5000 0.5000 0.0000 1
```

***

[10]
Compound: Tl5I2Br3
Source: the Alexandria database
Functional: PBE
Structure: relaxed

## Properties
The value obtained for the total energy is -2.763 eV/atom. For the density of states at the Fermi level, the calculation gives 0.0 states/eV/cell. As for the crystal system: monoclinic. Its calculated volume is 41.3 Å³ per atom. As for the formation energy without anion corrections: -0.768 eV per atom. The total magnetization is 0.00 μB per cell.

Structure (CIF):
```
data_Tl5I2Br3
_chemical_formula_sum 'Tl5 I2 Br3'
_symmetry_space_group_name_H-M 'P 1'
_symmetry_Int_Tables_number 1
_symmetry_space_group_name_Hall 'P 1'
_cell_length_a 9.0047
_cell_length_b 9.0047
_cell_length_c 12.3934
_cell_angle_alpha 124.79
_cell_angle_beta 124.79
_cell_angle_gamma 30.64
loop_
_atom_site_label
_atom_site_fract_x
_atom_site_fract_y
_atom_site_fract_z
_atom_site_occupancy
Tl1 0.0000 0.0000 0.0000 1
Tl2 0.0932 0.0932 0.4115 1
Tl3 0.2921 0.2921 0.1974 1
Tl4 0.7079 0.7079 0.8026 1
Tl5 0.9068 0.9068 0.5885 1
I1 0.3421 0.3421 0.7380 1
I2 0.6579 0.6579 0.2620 1
Br1 0.1170 0.1170 0.8693 1
Br2 0.5000 0.5000 0.5000 1
Br3 0.8830 0.8830 0.1307 1
```

***

[11]
Compound: TmSc2PaN4
Source: the Alexandria database
Functional: PBE
Structure: relaxed

## Properties
The value obtained for the total energy is -9.269 eV/atom. For the density of states at the Fermi level, the calculation gives 3.1 states/eV/cell. As for the crystal system: monoclinic. Its calculated volume is 13.1 Å³ per atom. As for the formation energy without anion corrections: -1.777 eV per atom. The total magnetization is 0.00 μB per cell.

Structure (CIF):
```
data_TmSc2PaN4
_chemical_formula_sum 'Tm1 Sc2 Pa1 N4'
_symmetry_space_group_name_H-M 'P 1'
_symmetry_Int_Tables_number 1
_symmetry_space_group_name_Hall 'P 1'
_cell_length_a 5.7517
_cell_length_b 3.3482
_cell_length_c 5.7814
_cell_angle_alpha 90.00
_cell_angle_beta 109.22
_cell_angle_gamma 90.00
loop_
_atom_site_label
_atom_site_fract_x
_atom_site_fract_y
_atom_site_fract_z
_atom_site_occupancy
Tm1 0.0000 0.0000 0.0000 1
Sc1 0.5000 0.0000 0.5000 1
Sc2 0.5000 0.5000 0.0000 1
Pa1 0.0000 0.5000 0.5000 1
N1 0.2545 0.5000 0.2591 1
N2 0.2619 0.0000 0.7535 1
N3 0.7381 0.0000 0.2465 1
N4 0.7455 0.5000 0.7409 1
```

***

[12]
Compound: Cs
Source: the Alexandria database
Functional: PBE
Structure: relaxed

## Properties
The value obtained for the total energy is -0.830 eV/atom. For the density of states at the Fermi level, the calculation gives 16.1 states/eV/cell. As for the crystal system: hexagonal. Its calculated volume is 118.6 Å³ per atom. For the energy above the most stable polymorph in this dataset, the calculation gives 24.0 meV per atom. Its energy relative to the elements is 0.02 eV per atom. The total magnetization is 0.00 μB per cell.

Structure (CIF):
```
data_Cs
_chemical_formula_sum 'Cs12'
_symmetry_space_group_name_H-M 'P 1'
_symmetry_Int_Tables_number 1
_symmetry_space_group_name_Hall 'P 1'
_cell_length_a 10.0511
_cell_length_b 10.0511
_cell_length_c 16.2616
_cell_angle_alpha 90.00
_cell_angle_beta 90.00
_cell_angle_gamma 120.00
loop_
_atom_site_label
_atom_site_fract_x
_atom_site_fract_y
_atom_site_fract_z
_atom_site_occupancy
Cs1 0.0000 0.0000 0.0000 1
Cs2 0.0000 0.0000 0.5000 1
Cs3 0.1718 0.3436 0.2500 1
Cs4 0.1718 0.8282 0.2500 1
Cs5 0.3333 0.6667 0.5632 1
Cs6 0.3333 0.6667 0.9368 1
Cs7 0.3436 0.1718 0.7500 1
Cs8 0.6564 0.8282 0.2500 1
Cs9 0.6667 0.3333 0.0632 1
Cs10 0.6667 0.3333 0.4368 1
Cs11 0.8282 0.1718 0.7500 1
Cs12 0.8282 0.6564 0.7500 1
```